# 1
DFT (PBE) results for K2Li3ReO6 after structural relaxation.

Output
**Formation energy (no corrections)**: -1.775 eV/atom
**SG**: C2/m, No. 12

Unit cell a=6.5913 b=6.5913 c=5.1061 alpha=99.05 beta=99.05 gamma=127.90
With the nearest neighbours (Å) after each atom.
Atoms (fractional coordinates):
K  0.3190  0.6810  0.0000  6 O 2.65-2.79
K  0.6810  0.3190  0.0000  6 O 2.65-2.79
Re  0.0000  0.0000  0.0000  6 O 1.91-1.92
O  0.0818  0.3086  0.2502  1 Re 1.92, 1 Li 1.99
O  0.9182  0.6914  0.7498  1 Re 1.92, 1 Li 1.99
O  0.7854  0.7854  0.2102  1 Re 1.91, 2 Li 1.96
O  0.6914  0.9182  0.7498  1 Re 1.92, 1 Li 1.99
O  0.2146  0.2146  0.7898  1 Re 1.91, 2 Li 1.96
O  0.3086  0.0818  0.2502  1 Re 1.92, 1 Li 1.99
Li  0.5000  0.5000  0.5000  4 O 2.22
Li  0.8991  0.1009  0.5000  4 O 1.96-1.99
Li  0.1009  0.8991  0.5000  4 O 1.96-1.99

# 2
DFT (PBE) results for KLiRe2O after structural relaxation.

Output
**Formation energy (no corrections)**: 2.171 eV/atom
**SG**: P4/mmm, No. 123

Unit cell a=4.1348 b=6.1994 c=4.1348 alpha=90.00 beta=90.00 gamma=90.00
With the nearest neighbours (Å) after each atom.
Atoms (fractional coordinates):
Li  0.0000  0.0000  0.0000  4 Re 2.07
K  0.0000  0.5000  0.0000  4 O 2.92, 2 Li 3.10
Re  0.5000  0.0000  0.0000  2 Li 2.07
Re  0.0000  0.0000  0.5000  2 Li 2.07
O  0.5000  0.5000  0.5000  4 K 2.92

# 3
DFT (PBE) results for K3LiRe2O8 after structural relaxation.

Output
**Formation energy (no corrections)**: -1.718 eV/atom
**SG**: P-3m1, No. 164

Unit cell a=5.9505 b=5.9505 c=7.6876 alpha=90.00 beta=90.00 gamma=120.00
With the nearest neighbours (Å) after each atom.
Atoms (fractional coordinates):
Li  0.0000  0.0000  0.5000  6 O 2.27
O  0.3422  0.1711  0.6851  1 Re 1.82
O  0.1711  0.3422  0.3149  1 Re 1.82
O  0.8289  0.1711  0.6851  1 Re 1.82
O  0.3333  0.6667  0.9902  1 Re 1.79
O  0.1711  0.8289  0.3149  1 Re 1.82
O  0.6667  0.3333  0.0098  1 Re 1.79
O  0.6578  0.8289  0.3149  1 Re 1.82
O  0.8289  0.6578  0.6851  1 Re 1.82
K  0.0000  0.0000  0.0000  6 O 3.00
K  0.6667  0.3333  0.3452  1 O 2.58
K  0.3333  0.6667  0.6548  1 O 2.58
Re  0.3333  0.6667  0.2229  4 O 1.79-1.82
Re  0.6667  0.3333  0.7771  4 O 1.79-1.82

# 4
DFT (PBE) results for KLiRe2O8 after structural relaxation.

Output
**Formation energy (no corrections)**: -1.821 eV/atom
**SG**: C2/m, No. 12

Unit cell a=5.6546 b=6.7361 c=7.4219 alpha=62.80 beta=67.61 gamma=65.18
With the nearest neighbours (Å) after each atom.
Atoms (fractional coordinates):
O  0.3271  0.4339  0.9118  1 Re 1.75
O  0.6293  0.0435  0.1982  1 Re 1.76
O  0.8552  0.6379  0.6517  1 Re 1.75
O  0.8711  0.9565  0.8018  1 Re 1.76
O  0.1289  0.0435  0.1982  1 Re 1.76
O  0.1448  0.3621  0.3483  1 Re 1.75
O  0.6729  0.5661  0.0882  1 Re 1.75
O  0.3707  0.9565  0.8018  1 Re 1.76
K  0.5000  0.5000  0.5000  2 O 2.71
Li  0.0000  0.0000  0.0000  4 O 2.04
Re  0.6943  0.7755  0.8359  4 O 1.75-1.76
Re  0.3057  0.2245  0.1641  4 O 1.75-1.76

# 5
DFT (PBE) results for K2LiReO4 after structural relaxation.

Output
**Formation energy (no corrections)**: -1.697 eV/atom
**SG**: I-4, No. 82

Unit cell a=5.5933 b=5.5933 c=5.5933 alpha=99.30 beta=114.78 gamma=114.78
With the nearest neighbours (Å) after each atom.
Atoms (fractional coordinates):
K  0.5000  0.7500  0.2500  8 O 2.87-3.03
K  0.0000  0.0000  0.0000  4 O 2.73
Li  0.5000  0.2500  0.7500  4 O 2.05
Re  0.0000  0.5000  0.5000  4 O 1.84
O  0.3879  0.8391  0.7018  1 Re 1.84, 1 Li 2.05
O  0.1374  0.2982  0.6861  1 Re 1.84, 1 Li 2.05
O  0.8626  0.5487  0.1609  1 Re 1.84, 1 Li 2.05
O  0.6121  0.3139  0.4513  1 Re 1.84, 1 Li 2.05

# 6
DFT (PBE) results for K2LiReO6 after structural relaxation.

Output
**Formation energy (no corrections)**: -1.455 eV/atom
**SG**: Fm-3m, No. 225

Unit cell a=5.8159 b=5.8159 c=5.8159 alpha=60.00 beta=60.00 gamma=60.00
With the nearest neighbours (Å) after each atom.
Atoms (fractional coordinates):
O  0.7298  0.2702  0.2702  1 Re 1.89
O  0.2702  0.7298  0.7298  1 Re 1.89
O  0.2702  0.2702  0.7298  1 Re 1.89
O  0.2702  0.7298  0.2702  1 Re 1.89
O  0.7298  0.7298  0.2702  1 Re 1.89
O  0.7298  0.2702  0.7298  1 Re 1.89
Li  0.0000  0.0000  0.0000  6 O 2.22
Re  0.5000  0.5000  0.5000  6 O 1.89
K  0.7500  0.7500  0.7500  12 O 2.91
K  0.2500  0.2500  0.2500  12 O 2.91

# 7
DFT (PBE) results for K4LiRh3O8 after structural relaxation.

Output
**Formation energy (no corrections)**: -1.149 eV/atom
**SG**: R-3m, No. 166

Unit cell a=6.4311 b=6.9096 c=6.4316 alpha=117.73 beta=120.00 gamma=90.00
With the nearest neighbours (Å) after each atom.
Atoms (fractional coordinates):
K  0.0000  0.0000  0.5000  6 O 2.66-2.71
K  0.5000  0.0000  0.5000  6 O 2.66-2.71
K  0.5000  0.0000  0.0000  6 O 2.58
K  0.0000  0.0000  0.0000  6 O 2.66-2.71
Rh  0.0000  0.5000  0.5000  6 O 2.06-2.12
Rh  0.5000  0.5000  0.0000  6 O 2.06-2.12
Rh  0.5000  0.5000  0.5000  6 O 2.06-2.12
O  0.2357  0.6719  0.9361  2 Rh 2.06, 1 Li 2.23
O  0.7247  0.6740  0.4493  3 Rh 2.12
O  0.7004  0.6719  0.9361  2 Rh 2.06, 1 Li 2.23
O  0.2358  0.6719  0.4716  2 Rh 2.06, 1 Li 2.23
O  0.7643  0.3281  0.0639  2 Rh 2.06, 1 Li 2.23
O  0.7642  0.3281  0.5284  2 Rh 2.06, 1 Li 2.23
O  0.2753  0.3260  0.5507  3 Rh 2.12
O  0.2996  0.3281  0.0639  2 Rh 2.06, 1 Li 2.23
Li  0.0000  0.5000  0.0000  6 O 2.23

# 8
DFT (PBE) results for K2Li3RhO6 after structural relaxation.

Output
**Formation energy (no corrections)**: -1.190 eV/atom
**SG**: C2/m, No. 12

Unit cell a=6.6265 b=6.6265 c=5.0763 alpha=99.20 beta=99.20 gamma=128.09
With the nearest neighbours (Å) after each atom.
Atoms (fractional coordinates):
Li  0.8987  0.1013  0.5000  4 O 1.95-1.97
Li  0.5000  0.5000  0.5000  4 O 2.19
Li  0.1013  0.8987  0.5000  4 O 1.95-1.97
Rh  0.0000  0.0000  0.0000  6 O 1.96-1.97
K  0.3207  0.6793  0.0000  6 O 2.65-2.83
K  0.6793  0.3207  0.0000  6 O 2.65-2.83
O  0.7817  0.7817  0.2165  2 Li 1.95, 1 Rh 1.96
O  0.9138  0.6840  0.7380  1 Rh 1.97, 2 Li 1.97-2.19
O  0.3160  0.0862  0.2620  1 Rh 1.97, 2 Li 1.97-2.19
O  0.0862  0.3160  0.2620  1 Rh 1.97, 2 Li 1.97-2.19
O  0.6840  0.9138  0.7380  1 Rh 1.97, 2 Li 1.97-2.19
O  0.2183  0.2183  0.7835  2 Li 1.95, 1 Rh 1.96

Q: The lowest formation energy (no corrections) belongs to which entry?
A: KLiRe2O8

Q: What is the formula in the sixth record?
A: K2LiReO6